1.
A relaxed structure of Co2MoPt, computed with PBE.

Cell lengths 4.630, 4.630, 4.532 Å; angles 79.38, 79.38, 33.81 degrees
Last column: magnetic moment on the atom in μB.
Fractional positions:
Co  0.744  0.744  0.759  1.31
Co  0.006  0.006  0.983  1.19
Pt  0.254  0.254  0.244  0.14
Mo  0.497  0.497  0.513  -0.15

Computed properties:
Calculated total energy (eV/atom): -7.788
ΔE to the lowest computed polymorph (meV per atom): 88
Calculated density (g/cm³): 12.802
Fermi-level density of states (states/eV per atom): 1.05

2.
A relaxed structure of Co2MoPt, computed with PBE.

Cell lengths 2.674, 2.674, 7.417 Å; angles 90.00, 90.00, 90.00 degrees
Last column: magnetic moment on the atom in μB.
Fractional positions:
Mo  0.500  0.500  0.250  -0.09
Pt  0.500  0.500  0.750  0.22
Co  0.000  0.000  0.499  1.17
Co  0.000  0.000  0.001  1.17

Computed properties:
Calculated total energy (eV/atom): -7.752
ΔE to the lowest computed polymorph (meV per atom): 124
Calculated density (g/cm³): 12.800
Fermi-level density of states (states/eV per atom): 1.40

3.
A relaxed structure of Co2MoPt, computed with PBE.

Cell lengths 4.518, 4.518, 2.685 Å; angles 90.00, 90.00, 106.92 degrees
Last column: magnetic moment on the atom in μB.
Fractional positions:
Co  0.500  0.500  0.000  0.80
Co  0.000  0.000  0.000  0.80
Pt  0.000  0.500  0.500  0.12
Mo  0.500  0.000  0.500  -0.12

Computed properties:
Calculated total energy (eV/atom): -7.740
ΔE to the lowest computed polymorph (meV per atom): 136
Calculated density (g/cm³): 12.946
Fermi-level density of states (states/eV per atom): 1.19

4.
A relaxed structure of Co2MoPt, computed with PBE.

Cell lengths 4.190, 4.190, 4.190 Å; angles 60.00, 60.00, 60.00 degrees
Fractional positions:
Co  0.250  0.250  0.250
Co  0.750  0.750  0.750
Mo  0.000  0.000  0.000
Pt  0.500  0.500  0.500

Computed properties:
Calculated total energy (eV/atom): -7.733
ΔE to the lowest computed polymorph (meV per atom): 143
Calculated density (g/cm³): 13.051
Fermi-level density of states (states/eV per atom): 0.90

5.
A relaxed structure of CoMo4Pt, computed with PBE.

Cell lengths 5.135, 5.135, 5.135 Å; angles 60.00, 60.00, 60.00 degrees
Last column: magnetic moment on the atom in μB.
Fractional positions:
Pt  0.750  0.750  0.750  0.04
Mo  0.374  0.877  0.374  0.02
Mo  0.877  0.374  0.374  0.02
Mo  0.374  0.374  0.374  0.02
Mo  0.374  0.374  0.877  0.02
Co  0.000  0.000  0.000  1.54

Computed properties:
Calculated total energy (eV/atom): -9.052
Calculated density (g/cm³): 11.064
Fermi-level density of states (states/eV per atom): 0.80

6.
A relaxed structure of CoMo2RuPt, computed with PBE.

Cell lengths 4.611, 4.418, 4.611 Å; angles 90.00, 90.00, 90.00 degrees
Last column: magnetic moment on the atom in μB.
Fractional positions:
Ru  0.000  0.000  0.000  0.14
Co  0.000  0.500  0.000  1.56
Mo  0.000  0.000  0.500  -0.15
Mo  0.500  0.000  0.000  -0.10
Pt  0.500  0.500  0.500  0.02

Computed properties:
Calculated total energy (eV/atom): -7.339
Calculated density (g/cm³): 9.668
Fermi-level density of states (states/eV per atom): 1.19

7.
A relaxed structure of ScCo2MoPt, computed with PBE.

Cell lengths 4.592, 4.791, 4.592 Å; angles 90.00, 90.00, 90.00 degrees
Last column: magnetic moment on the atom in μB.
Fractional positions:
Co  0.500  0.000  0.000  1.55
Co  0.000  0.000  0.500  2.17
Sc  0.500  0.500  0.500  -0.12
Mo  0.000  0.500  0.000  0.22
Pt  0.000  0.000  0.000  0.31

Computed properties:
Calculated total energy (eV/atom): -6.491
Calculated density (g/cm³): 7.460
Fermi-level density of states (states/eV per atom): 1.33

8.
A relaxed structure of ScCoMo2Pt, computed with PBE.

Cell lengths 4.607, 4.200, 4.607 Å; angles 90.00, 90.00, 90.00 degrees
Last column: magnetic moment on the atom in μB.
Fractional positions:
Mo  0.500  0.000  0.000  0.02
Mo  0.000  0.000  0.500  0.06
Sc  0.000  0.000  0.000  -0.06
Pt  0.500  0.500  0.500  0.07
Co  0.000  0.500  0.000  0.84

Computed properties:
Calculated total energy (eV/atom): -6.542
Calculated density (g/cm³): 9.144
Fermi-level density of states (states/eV per atom): 1.17